Record 1
Density functional theory data (PBE-GGA) for an optimized crystal structure of K2Zr2NiS6.

The structure in POSCAR format:
```
K2Zr2NiS6
1.0
-0.239 3.347 5.427
-5.390 -1.386 -3.121
1.287 -7.085 3.148
Ni Zr S K
1 2 6 2
Direct
0.000 0.000 0.500 Ni
0.667 0.333 0.500 Zr
0.333 0.667 0.500 Zr
0.611 0.935 0.312 S
0.259 0.259 0.314 S
0.065 0.389 0.688 S
0.935 0.611 0.312 S
0.741 0.741 0.686 S
0.389 0.065 0.688 S
0.168 0.832 0.000 K
0.832 0.168 0.000 K
```

**Total magnetic moment**: 2.0 μB per formula unit
**Volume**: 266.6 Å³/cell
**E_form (uncorrected)**: -1234 meV per atom
**Electronic total energy**: -5.764 eV per atom
**Space-group type**: C2/m, No. 12

***

Record 2
Density functional theory data (PBE-GGA) for an optimized crystal structure of K2ZrNi2S4.

The structure in POSCAR format:
```
K2ZrNi2S4
1.0
-1.473 3.390 -0.304
-6.442 -2.525 3.059
4.773 0.515 5.233
Ni S K Zr
2 4 2 1
Direct
0.319 0.007 0.639 Ni
0.681 0.993 0.361 Ni
0.200 0.168 0.399 S
0.479 0.228 0.959 S
0.521 0.772 0.041 S
0.800 0.832 0.601 S
0.134 0.557 0.268 K
0.866 0.443 0.732 K
0.000 0.000 0.000 Zr
```

**Total magnetic moment**: 0.7 μB per formula unit
**Volume**: 182.9 Å³/cell
**E_form (uncorrected)**: -1064 meV per atom
**Electronic total energy**: -5.377 eV per atom
**Space-group type**: C2/m, No. 12

***

Record 3
Density functional theory data (PBE-GGA) for an optimized crystal structure of K2NiSb.

The structure in POSCAR format:
```
K2NiSb
1.0
3.545 0.000 0.000
0.000 3.721 0.000
0.000 0.000 10.131
Ni K Sb
1 2 1
Direct
0.000 0.000 0.593 Ni
0.000 0.000 0.921 K
0.500 0.500 0.325 K
0.500 0.500 0.661 Sb
```

**Total magnetic moment**: 0.0 μB per formula unit
**Volume**: 133.6 Å³/cell
**E_form (uncorrected)**: 11 meV per atom
**Electronic total energy**: -3.013 eV per atom
**Space-group type**: Pmm2, No. 25

***

Record 4
Density functional theory data (PBE-GGA) for an optimized crystal structure of K2NiSb.

The structure in POSCAR format:
```
K2NiSb
1.0
6.278 0.053 0.024
4.865 3.969 0.024
1.689 0.609 4.273
K Sb Ni
2 1 1
Direct
0.018 0.018 0.982 K
0.482 0.482 0.518 K
0.250 0.250 0.250 Sb
0.750 0.750 0.750 Ni
```

**Total magnetic moment**: 0.0 μB per formula unit
**Volume**: 105.2 Å³/cell
**E_form (uncorrected)**: 286 meV per atom
**Electronic total energy**: -2.739 eV per atom
**Space-group type**: Immm, No. 71